A geometry-optimized Y2AlAg3 structure. Source: Alexandria, functional GGA-PBE.

Computed properties:
Space group: Fmmm
Energy of formation (eV per atom): -0.325
Fermi-level density of states (states/eV/cell): 7.914

abc: 5.822 5.822 8.895
angles: 103.30 103.30 107.27
Positions (direct):
Y1 0.250 0.750 0.500
Y2 0.755 0.755 0.000
Y3 0.750 0.250 0.500
Y4 0.245 0.245 0.000
Al1 0.667 0.667 0.334
Al2 0.333 0.333 0.666
Ag1 0.343 0.827 0.170
Ag2 0.173 0.657 0.830
Ag3 0.657 0.173 0.830
Ag4 0.827 0.343 0.170
Ag5 0.171 0.171 0.343
Ag6 0.829 0.829 0.657

***

A geometry-optimized TlCd8In6 structure. Source: Alexandria, functional GGA-PBE.

Computed properties:
Space group: P-3
Energy of formation (eV per atom): 0.055
Fermi-level density of states (states/eV/cell): 6.402

abc: 6.027 8.715 8.715
angles: 120.00 90.00 90.00
Positions (direct):
Tl1 0.500 0.000 0.000
Cd1 0.940 0.992 0.319
Cd2 0.940 0.681 0.673
Cd3 0.940 0.327 0.008
Cd4 0.060 0.008 0.681
Cd5 0.060 0.319 0.327
Cd6 0.060 0.673 0.992
Cd7 0.891 0.333 0.667
Cd8 0.109 0.667 0.333
In1 0.559 0.704 0.137
In2 0.559 0.863 0.567
In3 0.559 0.433 0.296
In4 0.441 0.296 0.863
In5 0.441 0.137 0.433
In6 0.441 0.567 0.704

***

- Among the records above, which one has the lowest energy of formation?
  Y2AlAg3

***

- What is the formula in the first record?
  Y2AlAg3

***

- The lowest energy of formation belongs to which entry?
  Y2AlAg3